(1)
First-principles (PBE-GGA) data for an optimized crystal structure of HfMgNbTc, as listed in the Open Quantum Materials Database.

Energy above the most stable polymorph in this dataset = 0.1114 eV/atom
Calculated density = 9178 kg/m3
Space group = No. 216

Structure (POSCAR):
```
HfMgNbTc
1.0
0.000 3.290 3.290
3.290 0.000 3.290
3.290 3.290 0.000
Hf Mg Nb Tc
1 1 1 1
Cartesian
0.000 0.000 0.000
4.935 4.935 4.935
1.645 1.645 1.645
3.290 3.290 3.290
```

(2)
First-principles (PBE-GGA) data for an optimized crystal structure of Hf4SnPC2, as listed in the Open Quantum Materials Database.

Total DFT energy (no corrections) = -9.409 eV/atom
Calculated density = 11250 kg/m3
Space group = No. 187

Structure (POSCAR):
```
Hf4SnPC2
1.0
3.378 0.000 0.000
-1.689 2.925 0.000
0.000 0.000 13.260
Hf Sn P C
4 1 1 2
Cartesian
0.000 0.000 1.773
0.000 0.000 11.487
0.000 1.950 4.243
0.000 1.950 9.017
0.000 0.000 6.630
0.000 1.950 0.000
1.689 0.975 3.046
1.689 0.975 10.214
```

Let's list V in order: 71; 131 Å³ per cell.